! BaTlHg2 | Alexandria via LeMat-Bulk | meta-GGA SCAN | single point on PBEsol structure; values from VASP
! Volume: 121.7 Å³ per cell
! Energy of formation: -0.405 eV per atom
&SYSTEM
  ibrav = 0, nat = 4, ntyp = 3
/
ATOMIC_SPECIES
Ba 137.33 Ba.upf
Tl 204.38 Tl.upf
Hg 200.59 Hg.upf
ATOMIC_POSITIONS crystal
Ba 0.000 0.000 0.000
Tl 0.307 0.500 0.651
Hg 0.616 0.500 0.227
Hg 0.700 0.000 0.482
CELL_PARAMETERS angstrom
3.958 0.000 0.000
0.000 4.664 0.000
-1.930 0.000 6.592